Material: SrGa2PdPt
Method: DFT, PBE
State: relaxed

a = 4.4644 Å, b = 4.4644 Å, c = 10.2471 Å
α = 90.00°, β = 90.00°, γ = 90.00°
Last column: nearest neighbours and their distance in Å.
Atoms (fractional coordinates):
1 Sr 0.2500 0.2500 0.2457  4 Pt 3.36, 9 Ga 3.40-3.76, 4 Pd 3.41
2 Sr 0.7500 0.7500 0.7543  4 Pt 3.36, 9 Ga 3.40-3.76, 4 Pd 3.41
3 Ga 0.2500 0.2500 0.8784  4 Pt 2.56, 1 Pd 2.56
4 Ga 0.2500 0.7500 0.5000  4 Pd 2.59
5 Ga 0.7500 0.2500 0.5000  4 Pd 2.59
6 Ga 0.7500 0.7500 0.1216  4 Pt 2.56, 1 Pd 2.56
7 Pd 0.2500 0.2500 0.6289  5 Ga 2.56-2.59
8 Pd 0.7500 0.7500 0.3711  5 Ga 2.56-2.59
9 Pt 0.2500 0.7500 0.0000  4 Ga 2.56
10 Pt 0.7500 0.2500 0.0000  4 Ga 2.56

Computed properties:
* space-group type: P4/nmm (129)
* energy above the most stable polymorph in this dataset: 54 meV per atom
* theoretical density: 8.59 g cm⁻³